Record 1
LiSm2DyTe4: optimized geometry, PBE.

Computed properties:
crystal system = monoclinic
formation energy without anion corrections = -1344 meV per atom
uncorrected energy = -4.9089 eV/atom

Unit cell a=7.581 b=4.363 c=7.612 alpha=90.00 beta=109.18 gamma=90.00
Space group P2/m (No. 10)
One atom of each set of equivalent atoms:
Li (0.000, 0.000, 0.000) [1 per cell]
Sm (0.000, 0.500, 0.500) [1 per cell]
Sm (0.500, 0.000, 0.500) [1 per cell]
Dy (0.500, 0.500, 0.000) [1 per cell]
Te (0.241, 0.500, 0.236) [2 per cell]
Te (0.248, 0.000, 0.762) [2 per cell]

=====

Record 2
LiSm3Dy2Te6: optimized geometry, PBE.

Computed properties:
crystal system = monoclinic
formation energy without anion corrections = -1344 meV per atom
uncorrected energy = -5.0213 eV/atom

Unit cell a=19.133 b=4.380 c=8.777 alpha=90.00 beta=103.52 gamma=90.00
Space group C2/m (No. 12)
One atom of each set of equivalent atoms:
Li (0.000, 0.000, 0.000) [2 per cell]
Sm (0.000, 0.000, 0.500) [2 per cell]
Sm (0.168, 0.500, 0.830) [4 per cell]
Dy (0.167, 0.500, 0.337) [4 per cell]
Te (0.002, 0.500, 0.238) [4 per cell]
Te (0.161, 0.000, 0.085) [4 per cell]
Te (0.167, 0.000, 0.579) [4 per cell]

=====

Record 3
LiSm3Dy3Te8: optimized geometry, PBE.

Computed properties:
crystal system = trigonal
formation energy without anion corrections = -1353 meV per atom
uncorrected energy = -5.0207 eV/atom

Unit cell a=8.7521 b=8.7521 c=21.5072 alpha=90.00 beta=90.00 gamma=120.00
Space group R-3m (No. 166, hexagonal axes)
One atom of each set of equivalent atoms:
Li (0.0000, 0.0000, 0.0000) [3 per cell]
Sm (0.0000, 0.5000, 0.5000) [9 per cell]
Dy (0.0000, 0.5000, 0.0000) [9 per cell]
Te (0.0000, 0.0000, 0.2522) [6 per cell]
Te (0.0011, 0.5006, 0.2520) [18 per cell]

=====

Record 4
Li4SmDy3Te8: optimized geometry, PBE.

Computed properties:
crystal system = trigonal
formation energy without anion corrections = -1293 meV per atom
uncorrected energy = -4.4998 eV/atom

Unit cell a=8.7218 b=8.7218 c=21.2068 alpha=90.00 beta=90.00 gamma=120.00
Space group R-3m (No. 166, hexagonal axes)
One atom of each set of equivalent atoms:
Li (0.0000, 0.0000, 0.0000) [3 per cell]
Li (0.0000, 0.5000, 0.0000) [9 per cell]
Sm (0.0000, 0.0000, 0.5000) [3 per cell]
Dy (0.0000, 0.5000, 0.5000) [9 per cell]
Te (0.0000, 0.0000, 0.2515) [6 per cell]
Te (0.0042, 0.5021, 0.7477) [18 per cell]

=====

Record 5
LiSmDyTe3: optimized geometry, PBE.

Computed properties:
crystal system = monoclinic
formation energy without anion corrections = -1265 meV per atom
uncorrected energy = -4.7081 eV/atom

Unit cell a=8.952 b=4.256 c=9.497 alpha=90.00 beta=103.70 gamma=90.00
Space group P2_1/m (No. 11)
One atom of each set of equivalent atoms:
Li (0.085, 0.250, 0.085) [2 per cell]
Sm (0.188, 0.250, 0.732) [2 per cell]
Dy (0.332, 0.750, 0.339) [2 per cell]
Te (0.091, 0.250, 0.376) [2 per cell]
Te (0.234, 0.750, 0.999) [2 per cell]
Te (0.429, 0.750, 0.676) [2 per cell]

=====

Record 6
LiSm2DyTe5: optimized geometry, PBE.

Computed properties:
crystal system = orthorhombic
formation energy without anion corrections = -1293 meV per atom
uncorrected energy = -4.8111 eV/atom

Unit cell a=4.375 b=18.639 c=13.212 alpha=90.00 beta=90.00 gamma=90.00
Space group Cmc2_1 (No. 36)
One atom of each set of equivalent atoms:
Li (0.000, 0.058, 0.000) [4 per cell]
Sm (0.000, 0.373, 0.837) [4 per cell]
Sm (0.000, 0.394, 0.222) [4 per cell]
Dy (0.000, 0.302, 0.545) [4 per cell]
Te (0.000, 0.002, 0.319) [4 per cell]
Te (0.000, 0.138, 0.535) [4 per cell]
Te (0.000, 0.188, 0.881) [4 per cell]
Te (0.000, 0.217, 0.205) [4 per cell]
Te (0.000, 0.453, 0.610) [4 per cell]

=====

Record 7
LiSm2DyTl4: optimized geometry, PBE.

Computed properties:
crystal system = trigonal
uncorrected energy = -3.5194 eV/atom
ΔH_f (0 K) = -342 meV per atom

Unit cell a=5.2832 b=5.2832 c=26.8116 alpha=90.00 beta=90.00 gamma=120.00
Space group R-3m (No. 166, hexagonal axes)
One atom of each set of equivalent atoms:
Li (0.0000, 0.0000, 0.0000) [3 per cell]
Sm (0.0000, 0.0000, 0.2555) [6 per cell]
Dy (0.0000, 0.0000, 0.5000) [3 per cell]
Tl (0.0000, 0.0000, 0.1242) [6 per cell]
Tl (0.0000, 0.0000, 0.3737) [6 per cell]

=====

Record 8
LiSmDyTl: optimized geometry, PBE.

Computed properties:
crystal system = cubic
uncorrected energy = -3.5958 eV/atom
ΔH_f (0 K) = -195 meV per atom

Unit cell a=7.552 b=7.552 c=7.552 alpha=90.00 beta=90.00 gamma=90.00
Space group F-43m (No. 216)
One atom of each set of equivalent atoms:
Li (0.000, 0.000, 0.000) [4 per cell]
Sm (0.250, 0.250, 0.250) [4 per cell]
Dy (0.250, 0.250, 0.750) [4 per cell]
Tl (0.000, 0.000, 0.500) [4 per cell]

=====

Record 9
Li2SmDy2Tl2: optimized geometry, PBE.

Computed properties:
crystal system = trigonal
uncorrected energy = -3.3942 eV/atom
ΔH_f (0 K) = -182 meV per atom

Unit cell a=4.8558 b=4.8558 c=26.8517 alpha=90.00 beta=90.00 gamma=120.00
Space group R-3m (No. 166, hexagonal axes)
One atom of each set of equivalent atoms:
Li (0.0000, 0.0000, 0.0997) [6 per cell]
Sm (0.0000, 0.0000, 0.5000) [3 per cell]
Dy (0.0000, 0.0000, 0.3724) [6 per cell]
Tl (0.0000, 0.0000, 0.2395) [6 per cell]

=====

Record 10
Li2Sm2DyTl2: optimized geometry, PBE.

Computed properties:
crystal system = trigonal
uncorrected energy = -3.4142 eV/atom
ΔH_f (0 K) = -185 meV per atom

Unit cell a=4.8464 b=4.8464 c=27.1921 alpha=90.00 beta=90.00 gamma=120.00
Space group R-3m (No. 166, hexagonal axes)
One atom of each set of equivalent atoms:
Li (0.0000, 0.0000, 0.1077) [6 per cell]
Sm (0.0000, 0.0000, 0.3737) [6 per cell]
Dy (0.0000, 0.0000, 0.5000) [3 per cell]
Tl (0.0000, 0.0000, 0.2352) [6 per cell]

=====

Record 11
LiDySn4: optimized geometry, PBE.

Computed properties:
crystal system = triclinic
uncorrected energy = -4.0333 eV/atom
ΔH_f (0 K) = -279 meV per atom

Unit cell a=3.757 b=4.165 c=9.620 alpha=90.05 beta=90.01 gamma=90.00
Space group P-1 (No. 2)
One atom of each set of equivalent atoms:
Li (0.000, 0.000, 0.000) [1 per cell]
Dy (0.500, 0.500, 0.500) [1 per cell]
Sn (0.001, 0.001, 0.681) [2 per cell]
Sn (0.498, 0.499, 0.157) [2 per cell]

=====

Record 12
LiDy2Sn: optimized geometry, PBE.

Computed properties:
crystal system = tetragonal
uncorrected energy = -4.1942 eV/atom
ΔH_f (0 K) = -414 meV per atom
ΔE to the lowest computed polymorph = 0 meV/atom

Unit cell a=4.897 b=4.897 c=4.255 alpha=90.00 beta=90.00 gamma=90.00
Space group P4/mmm (No. 123)
One atom of each set of equivalent atoms:
Li (0.000, 0.000, 0.000) [1 per cell]
Dy (0.000, 0.500, 0.500) [2 per cell]
Sn (0.500, 0.500, 0.000) [1 per cell]